No. 1
VASP calculation (PBE-GGA) on a geometry-optimized VBiSb structure.

a b c (Å): 3.533 7.439 10.838
angles (deg): 90.00 90.00 90.00
Atoms (fractional coordinates):
Bi 0.250 0.592 0.744
V 0.750 0.427 0.923
V 0.750 0.073 0.423
Bi 0.250 0.908 0.244
Sb 0.750 0.795 0.969
Bi 0.750 0.408 0.256
V 0.250 0.573 0.077
V 0.250 0.927 0.577
Bi 0.750 0.092 0.756
Sb 0.250 0.295 0.531
Sb 0.750 0.705 0.469
Sb 0.250 0.205 0.031

Values from the calculation:
* DOS at the Fermi energy: 0.514 states/eV/atom
* total energy: -5.61 eV per atom

***

No. 2
VASP calculation (PBE-GGA) on a geometry-optimized VBi3Sb structure.

a b c (Å): 5.315 5.315 5.315
angles (deg): 90.00 90.00 90.00
Site moments in Bohr magnetons follow the coordinates.
Atoms (fractional coordinates):
Bi 0.500 0.000 0.000  -0.13
Bi 0.000 0.500 0.000  -0.13
V 0.000 0.000 0.000  1.26
Sb 0.500 0.500 0.500  0.20
Bi 0.000 0.000 0.500  -0.13

Values from the calculation:
* DOS at the Fermi energy: 0.631 states/eV/atom
* energy above the lowest structure with this stoichiometry: 0.0 kJ per mole of atoms

***

No. 3
VASP calculation (PBE-GGA) on a geometry-optimized VBi2SbW structure.

a b c (Å): 5.806 4.952 5.806
angles (deg): 90.00 90.00 90.00
Site moments in Bohr magnetons follow the coordinates.
Atoms (fractional coordinates):
Bi 0.500 0.000 0.000  -0.32
Bi 0.000 0.000 0.500  -0.24
Sb 0.000 0.000 0.000  -0.08
W 0.500 0.500 0.500  3.08
V 0.000 0.500 0.000  2.46

Values from the calculation:
* DOS at the Fermi energy: 1.333 states/eV/atom
* total energy: -4.86 eV per atom